# 1
VASP calculation (GGA-PBE) on an optimized crystal structure of LiHoErRh.

Results
Total energy   -5.113 eV per atom
Mass density   8.84 g/cm3
Energy relative to the elements   -2.05 eV/f.u.

Structure (CIF):
```
data_LiHoErRh
_cell_length_a 6.925
_cell_length_b 6.925
_cell_length_c 6.925
_cell_angle_alpha 90.00
_cell_angle_beta 90.00
_cell_angle_gamma 90.00
_symmetry_space_group_name_H-M 'F -4 3 m'
_symmetry_Int_Tables_number 216
_symmetry_space_group_name_Hall 'F -4 2 3'
loop_
_atom_site_label
_atom_site_fract_x
_atom_site_fract_y
_atom_site_fract_z
Li1 0.000 0.000 0.000
Ho1 0.250 0.250 0.250
Er1 0.250 0.250 0.750
Rh1 0.000 0.000 0.500
```

---

# 2
VASP calculation (GGA-PBE) on an optimized crystal structure of YTl2Pd2.

Results
Total energy   -4.614 eV per atom
Mass density   10.18 g/cm3
Energy relative to the elements   -1.49 eV/f.u.
ΔE to the lowest computed polymorph   0.033 eV/atom

Structure (CIF):
```
data_YTl2Pd2
_cell_length_a 4.211
_cell_length_b 4.211
_cell_length_c 13.075
_cell_angle_alpha 90.00
_cell_angle_beta 90.00
_cell_angle_gamma 90.00
_symmetry_space_group_name_H-M 'I 4/m m m'
_symmetry_Int_Tables_number 139
_symmetry_space_group_name_Hall '-I 4 2'
loop_
_atom_site_label
_atom_site_fract_x
_atom_site_fract_y
_atom_site_fract_z
Y1 0.000 0.000 0.000
Tl1 0.000 0.500 0.250
Pd1 0.000 0.000 0.401
```

---

# 3
VASP calculation (GGA-PBE) on an optimized crystal structure of In3IrCl.

Results
Total energy   -4.043 eV per atom
Mass density   7.00 g/cm3
Energy relative to the elements, uncorrected   -259 meV/atom
ΔE to the lowest computed polymorph   0.179 eV/atom

Structure (CIF):
```
data_In3IrCl
_cell_length_a 14.073
_cell_length_b 4.241
_cell_length_c 9.625
_cell_angle_alpha 90.00
_cell_angle_beta 109.17
_cell_angle_gamma 90.00
_symmetry_space_group_name_H-M 'C 1 2/m 1'
_symmetry_Int_Tables_number 12
loop_
_symmetry_equiv_pos_as_xyz
'x,y,z'
'-x,-y,-z'
'-x,y,-z'
'x,-y,z'
'x+1/2,y+1/2,z'
'-x+1/2,-y+1/2,-z'
'-x+1/2,y+1/2,-z'
'x+1/2,-y+1/2,z'
loop_
_atom_site_label
_atom_site_fract_x
_atom_site_fract_y
_atom_site_fract_z
In1 0.035 0.000 0.155
In2 0.092 0.500 0.472
In3 0.248 0.500 0.279
Ir1 0.188 0.000 0.400
Cl1 0.105 0.500 0.859
```

---

# 4
VASP calculation (GGA-PBE) on an optimized crystal structure of La2Sm2Tm.

Results
Total energy   -4.630 eV per atom
Mass density   7.05 g/cm3
Energy relative to the elements   0.61 eV/f.u.
ΔE to the lowest computed polymorph   0.000 eV/atom

Structure (CIF):
```
data_La2Sm2Tm
_cell_length_a 3.851
_cell_length_b 13.646
_cell_length_c 13.403
_cell_angle_alpha 90.00
_cell_angle_beta 90.00
_cell_angle_gamma 90.00
_symmetry_space_group_name_H-M 'C m c 21'
_symmetry_Int_Tables_number 36
loop_
_symmetry_equiv_pos_as_xyz
'x,y,z'
'-x,-y,z+1/2'
'-x,y,z'
'x,-y,z+1/2'
'x+1/2,y+1/2,z'
'-x+1/2,-y+1/2,z+1/2'
'-x+1/2,y+1/2,z'
'x+1/2,-y+1/2,z+1/2'
loop_
_atom_site_label
_atom_site_fract_x
_atom_site_fract_y
_atom_site_fract_z
La1 0.000 0.002 0.000
La2 0.000 0.260 0.104
Sm1 0.000 0.097 0.752
Sm2 0.000 0.261 0.397
Tm1 0.000 0.398 0.754
```

---

# 5
VASP calculation (GGA-PBE) on an optimized crystal structure of CaAcUO6.

Results
Total energy   -8.230 eV per atom
Mass density   6.54 g/cm3
Energy relative to the elements, uncorrected   -2992 meV/atom

Structure (CIF):
```
data_CaAcUO6
_cell_length_a 5.8686
_cell_length_b 5.8686
_cell_length_c 5.1161
_cell_angle_alpha 90.00
_cell_angle_beta 90.00
_cell_angle_gamma 120.00
_symmetry_space_group_name_H-M 'P 3 1 2'
_symmetry_Int_Tables_number 149
loop_
_symmetry_equiv_pos_as_xyz
'x,y,z'
'-y,x-y,z'
'-x+y,-x,z'
'-y,-x,-z'
'-x+y,y,-z'
'x,x-y,-z'
loop_
_atom_site_label
_atom_site_fract_x
_atom_site_fract_y
_atom_site_fract_z
Ca1 0.0000 0.0000 0.0000
Ac1 0.6667 0.3333 0.5000
U1 0.3333 0.6667 0.0000
O1 0.0388 0.3678 0.2200
```

---

# 6
VASP calculation (GGA-PBE) on an optimized crystal structure of PrHo2Rh.

Results
Total energy   -5.516 eV per atom
Mass density   8.40 g/cm3
Energy relative to the elements   -0.78 eV/f.u.
ΔE to the lowest computed polymorph   0.301 eV/atom

Structure (CIF):
```
data_PrHo2Rh
_cell_length_a 4.5875
_cell_length_b 4.5875
_cell_length_c 18.6601
_cell_angle_alpha 90.00
_cell_angle_beta 90.00
_cell_angle_gamma 120.00
_symmetry_space_group_name_H-M 'R -3 m'
_symmetry_Int_Tables_number 166
_symmetry_space_group_name_Hall '-R 3 2"'
loop_
_atom_site_label
_atom_site_fract_x
_atom_site_fract_y
_atom_site_fract_z
Pr1 0.0000 0.0000 0.0000
Ho1 0.0000 0.0000 0.2182
Rh1 0.0000 0.0000 0.5000
```

---

# 7
VASP calculation (GGA-PBE) on an optimized crystal structure of SiIrOs2.

Results
Total energy   -8.917 eV per atom
Mass density   17.45 g/cm3
Energy relative to the elements, uncorrected   269 meV/atom

Structure (CIF):
```
data_SiIrOs2
_cell_length_a 2.755
_cell_length_b 4.544
_cell_length_c 4.565
_cell_angle_alpha 90.00
_cell_angle_beta 90.00
_cell_angle_gamma 90.00
_symmetry_space_group_name_H-M 'P m m m'
_symmetry_Int_Tables_number 47
loop_
_symmetry_equiv_pos_as_xyz
'x,y,z'
'-x,-y,-z'
'-x,-y,z'
'x,y,-z'
'x,-y,-z'
'-x,y,z'
'-x,y,-z'
'x,-y,z'
loop_
_atom_site_label
_atom_site_fract_x
_atom_site_fract_y
_atom_site_fract_z
Si1 0.000 0.000 0.000
Ir1 0.500 0.500 0.000
Os1 0.000 0.500 0.500
Os2 0.500 0.000 0.500
```

---

# 8
VASP calculation (GGA-PBE) on an optimized crystal structure of NbAl.

Results
Total energy   -5.160 eV per atom
Mass density   3.77 g/cm3
Energy relative to the elements   3.49 eV/f.u.

Structure (CIF):
```
data_NbAl
_cell_length_a 5.955
_cell_length_b 5.955
_cell_length_c 5.955
_cell_angle_alpha 90.00
_cell_angle_beta 90.00
_cell_angle_gamma 90.00
_symmetry_space_group_name_H-M 'F -4 3 m'
_symmetry_Int_Tables_number 216
_symmetry_space_group_name_Hall 'F -4 2 3'
loop_
_atom_site_label
_atom_site_fract_x
_atom_site_fract_y
_atom_site_fract_z
Nb1 0.000 0.000 0.000
Al1 0.250 0.250 0.250
```

---

# 9
VASP calculation (GGA-PBE) on an optimized crystal structure of Hf2Zr4Zn.

Results
Total energy   -7.834 eV per atom
Mass density   8.30 g/cm3
Energy relative to the elements   0.53 eV/f.u.

Structure (CIF):
```
data_Hf2Zr4Zn
_cell_length_a 15.121
_cell_length_b 3.105
_cell_length_c 7.689
_cell_angle_alpha 90.00
_cell_angle_beta 119.18
_cell_angle_gamma 90.00
_symmetry_space_group_name_H-M 'C 1 2/m 1'
_symmetry_Int_Tables_number 12
loop_
_symmetry_equiv_pos_as_xyz
'x,y,z'
'-x,-y,-z'
'-x,y,-z'
'x,-y,z'
'x+1/2,y+1/2,z'
'-x+1/2,-y+1/2,-z'
'-x+1/2,y+1/2,-z'
'x+1/2,-y+1/2,z'
loop_
_atom_site_label
_atom_site_fract_x
_atom_site_fract_y
_atom_site_fract_z
Hf1 0.220 0.000 0.142
Zr1 0.081 0.000 0.697
Zr2 0.141 0.500 0.402
Zn1 0.000 0.000 0.000
```

---

# 10
VASP calculation (GGA-PBE) on an optimized crystal structure of Er2Zn.

Results
Total energy   -3.692 eV per atom
Mass density   8.83 g/cm3
Energy relative to the elements   -0.68 eV/f.u.

Structure (CIF):
```
data_Er2Zn
_cell_length_a 3.534
_cell_length_b 3.534
_cell_length_c 12.043
_cell_angle_alpha 90.00
_cell_angle_beta 90.00
_cell_angle_gamma 90.00
_symmetry_space_group_name_H-M 'P 4/m m m'
_symmetry_Int_Tables_number 123
_symmetry_space_group_name_Hall '-P 4 2'
loop_
_atom_site_label
_atom_site_fract_x
_atom_site_fract_y
_atom_site_fract_z
Er1 0.000 0.000 0.000
Er2 0.000 0.000 0.291
Er3 0.500 0.500 0.500
Zn1 0.500 0.500 0.145
```

---

- What is the total energy in the second record?
  -4.614 eV per atom

---

- Among the records above, which one has the highest mass density?
  SiIrOs2

---

- total energy of number 6 (PrHo2Rh)?
  -5.516 eV per atom

---

- Which value of mass density does entry 8 give?
  3.77 g/cm3